A plane-wave DFT calculation with PBE-GGA was carried out for a relaxed structure of CaDyPuN3.

## Properties
Space group   No. 11
Raw formation energy   -0.818 eV per atom

a b c (Å): 3.5223 7.4848 8.4162
angles (deg): 97.07 90.00 90.00
Positions (direct):
N: 0.2500 0.0759 0.8377
N: 0.7500 0.3617 0.1172
N: 0.2500 0.6383 0.8828
N: 0.2500 0.7898 0.4177
N: 0.7500 0.2102 0.5823
N: 0.7500 0.9241 0.1623
Dy: 0.2500 0.1722 0.1168
Dy: 0.7500 0.8278 0.8832
Ca: 0.2500 0.6039 0.1633
Ca: 0.7500 0.3961 0.8367
Pu: 0.2500 0.0461 0.5971
Pu: 0.7500 0.9539 0.4029